{"formula": "Er2ZrPa", "functional": "PBE", "state": "optimized geometry", "lattice_angstrom": [[1.656, 0.956, 11.177], [-1.656, 0.956, 11.177], [0.000, -1.912, 11.177]], "species": ["Er", "Er", "Zr", "Pa"], "frac_coords": [[0.000, 0.000, 0.000], [0.171, 0.171, 0.171], [0.585, 0.585, 0.585], [0.752, 0.752, 0.752]], "formation_energy_ev_per_atom": 0.13, "rho_g_cm3": 10.3, "crystal_system": "trigonal", "polymorph_energy_mev_per_atom": 0, "m_tot_mub_per_cell": 0.00}



{"formula": "Er2ZrPa", "functional": "PBE", "state": "optimized geometry", "lattice_angstrom": [[1.628, 0.940, 11.680], [-1.628, 0.940, 11.680], [0.000, -1.880, 11.680]], "species": ["Er", "Er", "Zr", "Pa"], "frac_coords": [[0.091, 0.091, 0.091], [0.909, 0.909, 0.909], [0.500, 0.500, 0.500], [0.000, 0.000, 0.000]], "formation_energy_ev_per_atom": 0.24, "rho_g_cm3": 10.2, "crystal_system": "trigonal", "polymorph_energy_mev_per_atom": 109, "m_tot_mub_per_cell": 0.00}



{"formula": "ErZrPa2", "functional": "PBE", "state": "optimized geometry", "lattice_angstrom": [[4.496, 0.000, 0.000], [0.000, 4.496, 0.000], [0.000, 0.000, 5.050]], "species": ["Er", "Zr", "Pa", "Pa"], "frac_coords": [[0.000, 0.000, 0.000], [0.500, 0.500, 0.000], [0.000, 0.500, 0.500], [0.500, 0.000, 0.500]], "formation_energy_ev_per_atom": 0.19, "rho_g_cm3": 11.7, "crystal_system": "tetragonal", "polymorph_energy_mev_per_atom": 61, "m_tot_mub_per_cell": 0.00}



{"formula": "ErZrPa", "functional": "PBE", "state": "optimized geometry", "lattice_angstrom": [[3.314, 0.000, 0.000], [-1.657, 2.870, 0.000], [0.000, 0.000, 8.181]], "species": ["Er", "Zr", "Pa"], "frac_coords": [[0.000, 0.000, 0.000], [0.667, 0.333, 0.342], [0.333, 0.667, 0.659]], "formation_energy_ev_per_atom": 0.13, "rho_g_cm3": 10.4, "crystal_system": "trigonal", "polymorph_energy_mev_per_atom": 0, "m_tot_mub_per_cell": 0.00}



{"formula": "ErZrPa", "functional": "PBE", "state": "optimized geometry", "lattice_angstrom": [[-1.608, 1.608, 7.541], [1.608, -1.608, 7.541], [1.608, 1.608, -7.541]], "species": ["Er", "Zr", "Pa"], "frac_coords": [[0.000, 0.000, 0.000], [0.330, 0.330, 0.000], [0.674, 0.674, 0.000]], "formation_energy_ev_per_atom": 0.15, "rho_g_cm3": 10.4, "crystal_system": "tetragonal", "polymorph_energy_mev_per_atom": 22, "m_tot_mub_per_cell": 0.00}



{"formula": "ErZrPa", "functional": "PBE", "state": "optimized geometry", "lattice_angstrom": [[1.599, -9.535, 0.000], [1.599, 9.535, 0.000], [0.000, 0.000, 5.088]], "species": ["Er", "Er", "Zr", "Zr", "Pa", "Pa"], "frac_coords": [[0.049, 0.951, 0.750], [0.951, 0.049, 0.250], [0.216, 0.784, 0.750], [0.784, 0.216, 0.250], [0.371, 0.629, 0.750], [0.629, 0.371, 0.250]], "formation_energy_ev_per_atom": 0.18, "rho_g_cm3": 10.5, "crystal_system": "orthorhombic", "polymorph_energy_mev_per_atom": 51, "m_tot_mub_per_cell": 0.01}